Entry from the Alexandria database: a relaxed CaRePb2 crystal (GGA-PBE).

Summary:
The raw total energy comes out at -5.09 eV/atom. The formation energy is 379 meV/atom.

Lattice parameters (Å, degrees): 3.5014 3.5014 7.7374 90.00 90.00 90.01
With the nearest neighbours (Å) after each atom.
Element x y z (fractional)
Ca1 0.5000 0.5000 0.7500  8 Pb 3.35, 4 Ca 3.50
Pb1 0.0000 0.0000 0.4578  4 Re 2.95, 1 Pb 3.22
Pb2 0.0000 0.0000 0.0422  4 Re 2.95, 1 Pb 3.22
Re1 0.5000 0.5000 0.2500  8 Pb 2.95

---

Entry from the Alexandria database: a relaxed CsRbCuSe2 crystal (GGA-PBE).

Summary:
The raw total energy comes out at -3.21 eV/atom. The formation energy (no corrections) comes out at -0.635 eV/atom.

Lattice parameters (Å, degrees): 7.4203 5.6943 7.9687 90.00 90.00 90.00
With the nearest neighbours (Å) after each atom.
Element x y z (fractional)
Cu1 0.0000 0.5000 0.0000  4 Se 2.53
Cs1 0.2028 0.2500 0.5000  6 Se 3.66-3.70
Se1 0.1756 0.7500 0.7950  2 Cu 2.53
Cs2 0.7972 0.7500 0.5000  6 Se 3.66-3.70
Cu2 0.0000 0.0000 0.0000  4 Se 2.53
Se2 0.1756 0.7500 0.2050  2 Cu 2.53
Se3 0.8244 0.2500 0.2050  2 Cu 2.53
Rb1 0.3848 0.2500 0.0000  2 Cu 3.19, 2 Rb 3.32
Rb2 0.6152 0.7500 0.0000  2 Cu 3.19, 2 Rb 3.32
Se4 0.8244 0.2500 0.7950  2 Cu 2.53

---

Entry from the Alexandria database: a relaxed ScAuSe2 crystal (GGA-PBE).

Summary:
The raw total energy comes out at -4.88 eV/atom. The formation energy (no corrections) comes out at -0.733 eV/atom.

Lattice parameters (Å, degrees): 3.5354 3.5513 7.1059 71.37 90.00 90.00
With the nearest neighbours (Å) after each atom.
Element x y z (fractional)
Au1 0.5000 0.2500 0.2500  4 Se 2.72
Se1 0.0000 0.1799 0.9729  2 Au 2.72, 2 Sc 2.77
Sc1 0.5000 0.7500 0.7500  8 Se 2.77-3.08
Se2 0.0000 0.3201 0.5271  2 Au 2.72, 2 Sc 2.77

---

Entry from the Alexandria database: a relaxed YGePd2 crystal (GGA-PBE).

Summary:
The raw total energy comes out at -6.28 eV/atom. The formation energy is -909 meV/atom.

Lattice parameters (Å, degrees): 5.6052 7.1490 7.4143 90.00 90.00 90.00
With the nearest neighbours (Å) after each atom.
Element x y z (fractional)
Pd1 0.9110 0.5520 0.1815  3 Ge 2.54-2.66, 1 Pd 2.83
Pd2 0.0890 0.4480 0.8185  3 Ge 2.54-2.66, 1 Pd 2.83
Y1 0.8567 0.2500 0.4714  3 Ge 3.01-3.06, 8 Pd 3.06-3.21
Pd3 0.5890 0.9480 0.6815  3 Ge 2.54-2.66, 1 Pd 2.83
Y2 0.3567 0.7500 0.0286  3 Ge 3.01-3.06, 8 Pd 3.06-3.21
Pd4 0.0890 0.0520 0.8185  3 Ge 2.54-2.66, 1 Pd 2.83
Ge1 0.6423 0.7500 0.3801  6 Pd 2.54-2.66
Ge2 0.3577 0.2500 0.6199  6 Pd 2.54-2.66
Ge3 0.1423 0.2500 0.1199  6 Pd 2.54-2.66
Pd5 0.4110 0.4480 0.3185  3 Ge 2.54-2.66, 1 Pd 2.83
Y3 0.6433 0.2500 0.9714  3 Ge 3.01-3.06, 8 Pd 3.06-3.21
Pd6 0.9110 0.9480 0.1815  3 Ge 2.54-2.66, 1 Pd 2.83
Pd7 0.4110 0.0520 0.3185  3 Ge 2.54-2.66, 1 Pd 2.83
Ge4 0.8577 0.7500 0.8801  6 Pd 2.54-2.66
Pd8 0.5890 0.5520 0.6815  3 Ge 2.54-2.66, 1 Pd 2.83
Y4 0.1433 0.7500 0.5286  3 Ge 3.01-3.06, 8 Pd 3.06-3.21

---

Entry from the Alexandria database: a relaxed LaAlP2 crystal (GGA-PBE).

Summary:
The raw total energy comes out at -5.69 eV/atom. The formation energy is -818 meV/atom.

Lattice parameters (Å, degrees): 3.9925 3.9925 6.6184 72.49 72.49 59.99
With the nearest neighbours (Å) after each atom.
Element x y z (fractional)
P1 0.4852 0.4852 0.5444  3 Al 2.63, 3 La 2.94
La1 0.2500 0.2500 0.2500  6 P 2.94
P2 0.0148 0.0148 0.9556  3 Al 2.63, 3 La 2.94
Al1 0.7500 0.7500 0.7500  6 P 2.63

---

Entry from the Alexandria database: a relaxed CaRh2Au crystal (GGA-PBE).

Summary:
The raw total energy comes out at -5.09 eV/atom. The formation energy is -97 meV/atom.

Lattice parameters (Å, degrees): 5.0142 5.0142 5.0142 130.96 130.96 71.88
With the nearest neighbours (Å) after each atom.
Element x y z (fractional)
Rh1 0.5000 0.5000 0.0000  4 Au 2.91, 4 Ca 2.91, 4 Rh 2.94
Rh2 0.0000 0.0000 0.0000  4 Ca 2.91, 4 Au 2.91, 4 Rh 2.94
Au1 0.2500 0.7500 0.5000  8 Rh 2.91, 4 Ca 2.94
Ca1 0.7500 0.2500 0.5000  8 Rh 2.91, 4 Au 2.94

---

Entry from the Alexandria database: a relaxed ZrCd3Os crystal (GGA-PBE).

Summary:
The raw total energy comes out at -2.46 eV/atom. The formation energy is 2043 meV/atom.

Lattice parameters (Å, degrees): 5.4720 5.4720 5.4720 90.00 90.00 90.00
With the nearest neighbours (Å) after each atom.
Element x y z (fractional)
Cd1 0.5000 0.0000 0.0000  2 Zr 2.74
Os1 0.5000 0.5000 0.5000  12 Cd 3.87
Cd2 0.0000 0.5000 0.0000  2 Zr 2.74
Zr1 0.0000 0.0000 0.0000  6 Cd 2.74
Cd3 0.0000 0.0000 0.5000  2 Zr 2.74

---

Entry from the Alexandria database: a relaxed Mg2CdW crystal (GGA-PBE).

Summary:
The raw total energy comes out at -3.94 eV/atom. The formation energy is 328 meV/atom.

Lattice parameters (Å, degrees): 2.8607 2.8607 9.6017 90.00 90.00 103.74
With the nearest neighbours (Å) after each atom.
Element x y z (fractional)
Mg1 0.5000 0.5000 0.2664  4 W 2.83-3.15, 6 Mg 2.86-3.13
W1 0.0000 0.0000 0.4961  4 Mg 2.83-3.15, 4 W 2.86, 2 Cd 2.94
Mg2 0.0000 0.0000 0.9970  6 Mg 2.86-3.13, 2 Cd 3.03
Cd1 0.5000 0.5000 0.7404  4 Cd 2.86, 2 W 2.94, 2 Mg 3.03

---

Entry from the Alexandria database: a relaxed TaIn2Pt crystal (GGA-PBE).

Summary:
The raw total energy comes out at -5.83 eV/atom. The formation energy is 13 meV/atom.

Lattice parameters (Å, degrees): 5.2653 5.2653 2.9350 90.00 90.00 109.52
With the nearest neighbours (Å) after each atom.
Element x y z (fractional)
In1 0.5000 0.5000 0.0000  4 In 2.94-3.04, 4 Ta 3.01, 4 Pt 3.01
Pt1 0.5000 0.0000 0.5000  2 Pt 2.94, 8 In 3.01, 2 Ta 3.04
Ta1 0.0000 0.5000 0.5000  2 Ta 2.94, 8 In 3.01, 2 Pt 3.04
In2 0.0000 0.0000 0.0000  4 In 2.94-3.04, 4 Pt 3.01, 4 Ta 3.01

---

Entry from the Alexandria database: a relaxed VBBr3 crystal (GGA-PBE).

Summary:
The raw total energy comes out at -3.43 eV/atom. The formation energy (no corrections) comes out at 0.731 eV/atom.

Lattice parameters (Å, degrees): 4.7540 4.7540 4.7540 90.00 90.00 90.00
With the nearest neighbours (Å) after each atom.
Element x y z (fractional)
B1 0.0000 0.0000 0.0000  6 Br 2.38
Br1 0.5000 0.0000 0.0000  2 B 2.38
Br2 0.0000 0.0000 0.5000  2 B 2.38
V1 0.5000 0.5000 0.5000  12 Br 3.36
Br3 0.0000 0.5000 0.0000  2 B 2.38

---

Entry from the Alexandria database: a relaxed Mg2Ni6BC crystal (GGA-PBE).

Summary:
The raw total energy comes out at -5.58 eV/atom. The formation energy is -205 meV/atom.

Lattice parameters (Å, degrees): 5.4276 5.4247 7.6716 90.00 90.00 90.00
With the nearest neighbours (Å) after each atom.
Element x y z (fractional)
Ni1 0.2537 0.4964 0.5000  1 C 1.89, 1 B 1.95
C1 0.5000 0.2500 0.5000  6 Ni 1.89
C2 0.0000 0.7500 0.0000  6 Ni 1.89
Ni2 0.0000 0.7498 0.2462  1 C 1.89, 1 B 1.95
Mg1 0.5000 0.7501 0.2500  12 Ni 2.71
Ni3 0.7463 0.0036 0.5000  1 C 1.89, 1 B 1.95
Ni4 0.0000 0.7498 0.7538  1 C 1.89, 1 B 1.95
Mg2 0.0000 0.2499 0.7500  12 Ni 2.71
Ni5 0.2537 0.0036 0.5000  1 C 1.89, 1 B 1.95
Ni6 0.7537 0.9964 0.0000  1 C 1.89, 1 B 1.95
Ni7 0.5000 0.2502 0.2538  1 C 1.89, 1 B 1.95
Ni8 0.2463 0.9964 0.0000  1 C 1.89, 1 B 1.95
Ni9 0.2463 0.5036 0.0000  1 C 1.89, 1 B 1.95
Ni10 0.5000 0.2502 0.7462  1 C 1.89, 1 B 1.95
Mg3 0.0000 0.2499 0.2500  12 Ni 2.71
Ni11 0.7463 0.4964 0.5000  1 C 1.89, 1 B 1.95
Ni12 0.7537 0.5036 0.0000  1 C 1.89, 1 B 1.95
Mg4 0.5000 0.7501 0.7500  12 Ni 2.71
B1 0.5000 0.2500 0.0000  6 Ni 1.95
B2 0.0000 0.7500 0.5000  6 Ni 1.95

---

Entry from the Alexandria database: a relaxed GaH2I crystal (GGA-PBE).

Summary:
The raw total energy comes out at -2.03 eV/atom.

Lattice parameters (Å, degrees): 4.3944 4.3944 4.3944 60.00 60.00 60.00
With the nearest neighbours (Å) after each atom.
Element x y z (fractional)
H1 0.7500 0.7500 0.7500  4 Ga 2.69, 4 I 2.69
I1 0.5000 0.5000 0.5000  8 H 2.69
H2 0.2500 0.2500 0.2500  4 I 2.69, 4 Ga 2.69
Ga1 0.0000 0.0000 0.0000  8 H 2.69

---

> Which value of raw total energy does entry 4 give?

-6.28 eV/atom